Record 1
# GeBAs

An optimized crystal structure of GeBAs (PBE-GGA, the Alexandria database).

## Properties
**Energy of formation from the pure elements**: 0.492 eV/atom
**Symmetry**: No. 12
**M_tot**: 0.00 μB/f.u.

Structure (CIF):
```
data_GeBAs
_space_group_name_H-M_alt 'P 1'
_space_group_IT_number 1
_space_group_name_Hall 'P 1'
_cell_length_a 5.577
_cell_length_b 5.577
_cell_length_c 5.217
_cell_angle_alpha 107.72
_cell_angle_beta 107.72
_cell_angle_gamma 39.96
loop_
_atom_site_label
_atom_site_type_symbol
_atom_site_fract_x
_atom_site_fract_y
_atom_site_fract_z
Ge1 Ge 0.160 0.160 0.037
Ge2 Ge 0.840 0.840 0.963
B1 B 0.380 0.380 0.244
B2 B 0.620 0.620 0.756
As1 As 0.409 0.409 0.660
As2 As 0.591 0.591 0.340
```

Record 2
# SbAsPd5

An optimized crystal structure of SbAsPd5 (PBE-GGA, the Alexandria database).

## Properties
**Formation energy (no corrections)**: -374 meV/atom
**Symmetry**: No. 227
**M_tot**: 0.00 μB/f.u.
**ΔE to the lowest computed polymorph**: 24 meV per atom

Structure (CIF):
```
data_SbAsPd5
_space_group_name_H-M_alt 'P 1'
_space_group_IT_number 1
_space_group_name_Hall 'P 1'
_cell_length_a 8.770
_cell_length_b 8.770
_cell_length_c 8.770
_cell_angle_alpha 60.00
_cell_angle_beta 60.00
_cell_angle_gamma 60.00
loop_
_atom_site_label
_atom_site_type_symbol
_atom_site_fract_x
_atom_site_fract_y
_atom_site_fract_z
Sb1 Sb 0.000 0.000 0.000
Sb2 Sb 0.000 0.000 0.500
Sb3 Sb 0.000 0.500 0.000
Sb4 Sb 0.500 0.000 0.000
As1 As 0.000 0.500 0.500
As2 As 0.500 0.000 0.500
As3 As 0.500 0.500 0.000
As4 As 0.500 0.500 0.500
Pd1 Pd 0.142 0.786 0.786
Pd2 Pd 0.162 0.162 0.588
Pd3 Pd 0.162 0.588 0.162
Pd4 Pd 0.162 0.588 0.588
Pd5 Pd 0.214 0.214 0.214
Pd6 Pd 0.214 0.214 0.858
Pd7 Pd 0.214 0.858 0.214
Pd8 Pd 0.412 0.412 0.838
Pd9 Pd 0.412 0.838 0.412
Pd10 Pd 0.412 0.838 0.838
Pd11 Pd 0.588 0.162 0.162
Pd12 Pd 0.588 0.162 0.588
Pd13 Pd 0.588 0.588 0.162
Pd14 Pd 0.786 0.142 0.786
Pd15 Pd 0.786 0.786 0.142
Pd16 Pd 0.786 0.786 0.786
Pd17 Pd 0.838 0.412 0.412
Pd18 Pd 0.838 0.412 0.838
Pd19 Pd 0.838 0.838 0.412
Pd20 Pd 0.858 0.214 0.214
```

Record 3
# IrSe2F

An optimized crystal structure of IrSe2F (PBE-GGA, the Alexandria database).

## Properties
**Formation energy (no corrections)**: -575 meV/atom
**Symmetry**: No. 1
**M_tot**: 0.00 μB/f.u.

Structure (CIF):
```
data_IrSe2F
_space_group_name_H-M_alt 'P 1'
_space_group_IT_number 1
_space_group_name_Hall 'P 1'
_cell_length_a 4.836
_cell_length_b 5.579
_cell_length_c 6.718
_cell_angle_alpha 111.64
_cell_angle_beta 93.62
_cell_angle_gamma 111.80
loop_
_atom_site_label
_atom_site_type_symbol
_atom_site_fract_x
_atom_site_fract_y
_atom_site_fract_z
Ir1 Ir 0.000 0.000 0.000
Ir2 Ir 0.230 0.400 0.580
Se1 Se 0.284 0.996 0.318
Se2 Se 0.621 0.525 0.907
Se3 Se 0.836 0.300 0.270
Se4 Se 0.842 0.161 0.733
F1 F 0.230 0.811 0.768
F2 F 0.540 0.628 0.451
```